[1]
Density functional theory data (PBE-GGA) for a relaxed structure of Tb3Y6Tl.

Cell: 12.1850 3.6085 14.5742 Å, 90.00 93.91 90.00°
With the nearest neighbours (Å) after each atom.
Space group P2_1/m (No. 11)
Unique sites:
Tb1 0.0486 0.2500 0.3035 x2  3 Tb 3.33-3.61, 7 Y 3.44-3.73, 1 Tl 3.73
Tb2 0.0995 0.2500 0.0818 x2  3 Tb 3.33-3.61, 4 Y 3.48-3.61
Tb3 0.4253 0.2500 0.8213 x2  9 Y 3.20-3.57
Y1 0.1144 0.7500 0.5007 x2  2 Tl 3.19, 4 Y 3.32-3.37, 2 Tb 3.44
Y2 0.1924 0.7500 0.8905 x2  6 Y 3.51-3.61, 5 Tb 3.57-3.61
Y3 0.2074 0.2500 0.6853 x2  1 Tb 3.20, 6 Y 3.37-3.58
Y4 0.3057 0.7500 0.2548 x2  2 Tl 3.31, 1 Tb 3.53, 4 Y 3.61-3.67
Y5 0.3796 0.2500 0.0484 x2  4 Tb 3.39-3.48, 8 Y 3.61-3.80
Y6 0.4395 0.7500 0.6112 x2  3 Tl 3.16-3.30
Tl1 0.3151 0.2500 0.4455 x2  7 Y 3.16-3.31

Fermi-level density of states: 34.12 states/eV per cell
ΔH_f (0 K): 0.0058 eV per atom
Volume: 31.966 Å³ per atom
M_tot: 0.20 μB/f.u.
Calculated total energy: -0.4041 Ry per atom
Offset from the most stable computed form: 0 meV/atom



[2]
Density functional theory data (PBE-GGA) for a relaxed structure of TbY4Tl.

Cell: 11.9450 5.3948 6.8481 Å, 90.00 122.63 90.00°
With the nearest neighbours (Å) after each atom.
Space group C2/m (No. 12)
Unique sites:
Tb1 0.0000 0.0000 0.0000 x2  2 Tl 3.42, 6 Y 3.50-3.67
Y1 0.1469 0.5000 0.8001 x4  2 Tl 3.27, 2 Y 3.37-3.55
Y2 0.1976 0.5000 0.3348 x4  1 Tl 3.15, 3 Y 3.30-3.37, 2 Tb 3.50
Tl1 0.0000 0.0000 0.5000 x2  6 Y 3.15-3.27, 2 Tb 3.42

Fermi-level density of states: 11.75 states/eV per cell
ΔH_f (0 K): -0.0934 eV per atom
Volume: 30.971 Å³ per atom
M_tot: 0.00 μB/f.u.
Calculated total energy: -0.4093 Ry per atom
Offset from the most stable computed form: 0 meV/atom



[3]
Density functional theory data (PBE-GGA) for a relaxed structure of Tb5Y2Tl4.

Cell: 3.7024 8.9104 20.9713 Å, 90.00 90.00 90.00°
With the nearest neighbours (Å) after each atom.
Space group Immm (No. 71)
Unique sites:
Tb1 0.0000 0.0000 0.0000 x2  4 Tl 3.08
Tb2 0.0000 0.2971 0.3476 x8  2 Tl 3.14-3.26
Y1 0.0000 0.5000 0.0828 x4  5 Tl 2.98-3.22
Tl1 0.0000 0.2231 0.5000 x4  4 Tb 3.08-3.26, 4 Y 3.22
Tl2 0.0000 0.5000 0.2250 x4  1 Y 2.98, 2 Tb 3.14

Fermi-level density of states: 23.24 states/eV per cell
ΔH_f (0 K): -0.0952 eV per atom
Volume: 31.447 Å³ per atom
M_tot: 0.26 μB/f.u.
Calculated total energy: -0.3113 Ry per atom



[4]
Density functional theory data (PBE-GGA) for a relaxed structure of TbYTl2.

Cell: 7.5587 7.6225 5.3649 Å, 90.00 134.47 90.00°
With the nearest neighbours (Å) after each atom.
Space group C2/m (No. 12)
Unique sites:
Tb1 0.0000 0.0000 0.0000 x2  8 Tl 3.29-3.30
Y1 0.0000 0.5000 0.0000 x2  8 Tl 3.29-3.30
Tl1 0.0000 0.2500 0.5000 x4  4 Tb 3.29-3.30, 4 Y 3.29-3.30

Fermi-level density of states: 6.85 states/eV per cell
ΔH_f (0 K): -0.3621 eV per atom
Volume: 27.572 Å³ per atom
M_tot: 0.00 μB/f.u.
Calculated total energy: -0.3174 Ry per atom
Offset from the most stable computed form: 7 meV/atom